PBE LaTbPr2Er4, relaxed; energy relative to the elements = 0.02 eV per atom; DOS at the Fermi energy = 11.29 states/eV/cell; total magnetization = 0.00 μB per formula unit
1.0
5.1220 0.0000 0.0000
0.0000 5.1508 0.0000
0.0000 0.0000 9.9742
La Tb Pr Er
1 1 2 4
Direct
0.0000 0.0000 0.0000
0.5000 0.5000 0.5000
0.0000 0.0000 0.5000
0.5000 0.5000 0.0000
0.0000 0.5000 0.2535
0.0000 0.5000 0.7465
0.5000 0.0000 0.2533
0.5000 0.0000 0.7467